[1]
The following is a DFT calculation (GGA-PBE) of CuTePC after structural relaxation.

Summary:
E = -4.88 eV per atom

Lattice parameters (Å, degrees): 3.0012 3.8354 6.2680 90.00 90.01 90.00
Last column: nearest neighbours and their distance in Å.
Space group Pm (No. 6)
One atom of each set of equivalent atoms:
1 Cu 0.0000 0.0000 0.0000 (multiplicity 1)  2 C 2.20, 4 P 2.43-2.44
2 Te 0.0015 0.5000 0.4848 (multiplicity 1)  1 C 2.14
3 P 0.5019 0.5000 0.9981 (multiplicity 1)  2 C 1.85
4 C 0.0019 0.5000 0.8264 (multiplicity 1)  2 P 1.85

=====

[2]
The following is a DFT calculation (GGA-PBE) of CuTePC after structural relaxation.

Summary:
E = -4.96 eV per atom

Lattice parameters (Å, degrees): 12.8201 2.9839 3.9592 90.00 101.23 90.00
Last column: nearest neighbours and their distance in Å.
Space group Cm (No. 8)
One atom of each set of equivalent atoms:
1 Cu 0.0000 0.0000 0.0000 (multiplicity 2)  1 C 1.95
2 Te 0.2022 0.0000 0.9406 (multiplicity 2)  1 P 2.64, 1 Cu 2.65
3 P 0.4007 0.0000 0.2818 (multiplicity 2)  2 C 1.77
4 C 0.4456 0.5000 0.5038 (multiplicity 2)  2 P 1.77, 1 Cu 1.95

=====

[3]
The following is a DFT calculation (GGA-PBE) of CuTePC after structural relaxation.

Summary:
E = -4.79 eV per atom

Lattice parameters (Å, degrees): 3.9141 4.3284 5.2461 84.42 81.40 68.36
Last column: nearest neighbours and their distance in Å.
Space group P1 (No. 1)
One atom of each set of equivalent atoms:
1 Cu 0.0000 0.0000 0.0000 (multiplicity 1)  2 C 2.04-2.21, 1 P 2.28
2 Te 0.2323 0.1974 0.4849 (multiplicity 1)  1 C 2.15
3 P 0.8464 0.5437 0.1228 (multiplicity 1)  1 C 1.71
4 C 0.4829 0.9132 0.1485 (multiplicity 1)  1 P 1.71